VASP calculation (PBE+U) on K2CoReF after structural relaxation.

Calculated values
Electronic total energy in eV per atom: -3.379

Cell lengths 6.673, 6.673, 4.062 Å; angles 90.00, 90.00, 90.00 degrees
Space group P4/mmm (No. 123)
Symmetry-distinct sites (fractional):
K 0.000 0.500 0.000 [2 per cell]
Co 0.000 0.000 0.500 [1 per cell]
Re 0.500 0.500 0.000 [1 per cell]
F 0.500 0.500 0.500 [1 per cell]